The following is a PBE calculation of CeP after structural relaxation, from Alexandria.

Cell lengths 4.9754, 5.0072, 3.4899 Å; angles 90.00, 90.00, 90.00 degrees
Space group Pmmn (No. 59, origin choice 2)
Asymmetric unit:
1 Ce 0.2500 0.2500 0.0941 (multiplicity 2)
2 P 0.2500 0.7500 0.4967 (multiplicity 2)

- density of states at the Fermi level (states/eV/cell) = 9.6
- E_tot (eV per atom) = -6.850
- energy of formation from the pure elements (meV/atom) = -1178
- mass density (Mg/m³) = 6.5